Entry 1:
Here is a relaxed structure of KMg4Tl12 from Alexandria via LeMat-Bulk. Energies are from PBE-GGA.

Calculated values
The space-group type is Im-3.

Unit cell a=8.9595 b=8.9595 c=8.9595 alpha=109.47 beta=109.47 gamma=109.47
Closest atoms and distances in Å follow each position.
Fractional positions:
Tl (0.6496, 0.4913, 0.8417)  2 Mg 2.94, 2 Tl 3.10-3.27
Tl (0.1583, 0.3504, 0.5087)  2 Mg 2.94, 2 Tl 3.10-3.27
Tl (0.1583, 0.6496, 0.8079)  2 Mg 2.94, 2 Tl 3.10-3.27
Tl (0.3504, 0.5087, 0.1583)  2 Mg 2.94, 2 Tl 3.10-3.27
Tl (0.8417, 0.6496, 0.4913)  2 Mg 2.94, 2 Tl 3.10-3.27
Tl (0.8417, 0.3504, 0.1921)  2 Mg 2.94, 2 Tl 3.10-3.27
Tl (0.6496, 0.8079, 0.1583)  2 Mg 2.94, 2 Tl 3.10-3.27
Tl (0.8079, 0.1583, 0.6496)  2 Mg 2.94, 2 Tl 3.10-3.27
Tl (0.4913, 0.8417, 0.6496)  2 Mg 2.94, 2 Tl 3.10-3.27
Tl (0.5087, 0.1583, 0.3504)  2 Mg 2.94, 2 Tl 3.10-3.27
Tl (0.3504, 0.1921, 0.8417)  2 Mg 2.94, 2 Tl 3.10-3.27
Tl (0.1921, 0.8417, 0.3504)  2 Mg 2.94, 2 Tl 3.10-3.27
K (0.0000, 0.0000, 0.0000)  12 Tl 3.98
Mg (0.0000, 0.5000, 0.0000)  6 Tl 2.94
Mg (0.5000, 0.5000, 0.5000)  6 Tl 2.94
Mg (0.5000, 0.0000, 0.0000)  6 Tl 2.94
Mg (0.0000, 0.0000, 0.5000)  6 Tl 2.94

Entry 2:
Here is a relaxed structure of K2MgTl2 from Alexandria via LeMat-Bulk. Energies are from PBE-GGA.

Calculated values
The space-group type is Immm. For the excess energy over the best structure of this formula in the dataset, the calculation gives 0 meV per atom.

Unit cell a=4.9535 b=7.1524 c=7.1524 alpha=55.34 beta=69.74 gamma=69.74
Closest atoms and distances in Å follow each position.
Fractional positions:
K (0.8011, 0.6989, 0.6989)  6 Tl 3.76-3.90, 2 Mg 4.05
K (0.1989, 0.3011, 0.3011)  6 Tl 3.76-3.90, 2 Mg 4.05
Tl (0.5000, 0.7434, 0.2566)  2 Mg 3.01, 1 Tl 3.23
Tl (0.5000, 0.2566, 0.7434)  2 Mg 3.01, 1 Tl 3.23
Mg (0.0000, 0.0000, 0.0000)  4 Tl 3.01

Entry 3:
Here is a relaxed structure of KMg6Tl8 from Alexandria via LeMat-Bulk. Energies are from PBE-GGA.

Calculated values
The space-group type is R-3.

Unit cell a=7.7891 b=7.7891 c=7.7891 alpha=75.67 beta=75.67 gamma=75.67
Closest atoms and distances in Å follow each position.
Fractional positions:
Mg (0.5745, 0.1763, 0.3761)  5 Tl 3.04-3.20, 3 Mg 3.23-3.29
Mg (0.6239, 0.4255, 0.8237)  5 Tl 3.04-3.20, 3 Mg 3.23-3.29
Mg (0.4255, 0.8237, 0.6239)  5 Tl 3.04-3.20, 3 Mg 3.23-3.29
Mg (0.8237, 0.6239, 0.4255)  5 Tl 3.04-3.20, 3 Mg 3.23-3.29
Mg (0.1763, 0.3761, 0.5745)  5 Tl 3.04-3.20, 3 Mg 3.23-3.29
Mg (0.3761, 0.5745, 0.1763)  5 Tl 3.04-3.20, 3 Mg 3.23-3.29
Tl (0.4424, 0.1290, 0.8055)  4 Mg 3.04-3.20, 2 Tl 3.29-3.39
Tl (0.1290, 0.8055, 0.4424)  4 Mg 3.04-3.20, 2 Tl 3.29-3.39
Tl (0.8055, 0.4424, 0.1290)  4 Mg 3.04-3.20, 2 Tl 3.29-3.39
Tl (0.5576, 0.8710, 0.1945)  4 Mg 3.04-3.20, 2 Tl 3.29-3.39
Tl (0.1945, 0.5576, 0.8710)  4 Mg 3.04-3.20, 2 Tl 3.29-3.39
Tl (0.2243, 0.2243, 0.2243)  3 Mg 3.14, 6 Tl 3.29-3.45
Tl (0.8710, 0.1945, 0.5576)  4 Mg 3.04-3.20, 2 Tl 3.29-3.39
Tl (0.7757, 0.7757, 0.7757)  3 Mg 3.14, 6 Tl 3.29-3.45
K (0.0000, 0.0000, 0.0000)  8 Tl 3.68-3.70, 6 Mg 4.05

Entry 4:
Here is a relaxed structure of KMg4Tl6 from Alexandria via LeMat-Bulk. Energies are from PBE-GGA.

Calculated values
The space-group type is P-6m2.

Unit cell a=4.8921 b=8.7345 c=8.7345 alpha=120.00 beta=90.00 gamma=90.00
Closest atoms and distances in Å follow each position.
Fractional positions:
Mg (0.5000, 0.7881, 0.2119)  6 Tl 3.10-3.12, 2 Mg 3.18
Mg (0.0000, 0.3333, 0.6667)  9 Tl 3.02-3.19
Mg (0.5000, 0.7881, 0.5761)  6 Tl 3.10-3.12, 2 Mg 3.18
Mg (0.5000, 0.4239, 0.2119)  6 Tl 3.10-3.12, 2 Mg 3.18
Tl (0.0000, 0.9335, 0.4668)  5 Mg 3.02-3.12
Tl (0.5000, 0.1978, 0.3955)  4 Mg 3.10-3.19
Tl (0.0000, 0.5332, 0.0665)  5 Mg 3.02-3.12
Tl (0.0000, 0.5332, 0.4668)  5 Mg 3.02-3.12
Tl (0.5000, 0.6045, 0.8022)  4 Mg 3.10-3.19
Tl (0.5000, 0.1978, 0.8022)  4 Mg 3.10-3.19
K (0.0000, 0.0000, 0.0000)  6 Tl 3.86, 6 Mg 4.03

Entry 5:
Here is a relaxed structure of KMgTl3 from Alexandria via LeMat-Bulk. Energies are from PBE-GGA.

Calculated values
The space-group type is Cmcm. For the excess energy over the best structure of this formula in the dataset, the calculation gives 0 meV per atom.

Unit cell a=6.1599 b=7.2840 c=8.1155 alpha=116.66 beta=90.00 gamma=90.00
Closest atoms and distances in Å follow each position.
Fractional positions:
Tl (0.2500, 0.9141, 0.2997)  2 Tl 3.14-3.43, 2 Mg 3.17
Tl (0.7500, 0.6145, 0.7003)  2 Tl 3.14-3.43, 2 Mg 3.17
Tl (0.7500, 0.1794, 0.3587)  2 Mg 3.02, 2 Tl 3.14
Tl (0.7500, 0.0859, 0.7003)  2 Tl 3.14-3.43, 2 Mg 3.17
Tl (0.2500, 0.3855, 0.2997)  2 Tl 3.14-3.43, 2 Mg 3.17
Tl (0.2500, 0.8206, 0.6413)  2 Mg 3.02, 2 Tl 3.14
K (0.2500, 0.3959, 0.7918)  8 Tl 3.69-3.96
K (0.7500, 0.6041, 0.2082)  8 Tl 3.69-3.96
Mg (0.5000, 0.0000, 0.0000)  6 Tl 3.02-3.17, 2 Mg 3.08
Mg (0.0000, 0.0000, 0.0000)  6 Tl 3.02-3.17, 2 Mg 3.08

Entry 6:
Here is a relaxed structure of KMgTl2 from Alexandria via LeMat-Bulk. Energies are from PBE-GGA.

Calculated values
The space-group type is P4/mmm.

Unit cell a=3.7451 b=3.7451 c=8.6486 alpha=90.00 beta=90.00 gamma=90.00
Closest atoms and distances in Å follow each position.
Fractional positions:
Tl (0.0000, 0.0000, 0.5484)  4 Mg 3.17, 1 Tl 3.49
Tl (0.0000, 0.0000, 0.9516)  4 Mg 3.17, 1 Tl 3.49
K (0.5000, 0.5000, 0.2500)  8 Tl 3.70, 4 K 3.75
Mg (0.5000, 0.5000, 0.7500)  8 Tl 3.17

Entry 7:
Here is a relaxed structure of K2MgTl from Alexandria via LeMat-Bulk. Energies are from PBE-GGA.

Calculated values
The space-group type is Fm-3m.

Unit cell a=6.1450 b=6.1450 c=6.1450 alpha=60.00 beta=60.00 gamma=60.00
Closest atoms and distances in Å follow each position.
Fractional positions:
Mg (0.0000, 0.0000, 0.0000)  8 K 3.76
Tl (0.5000, 0.5000, 0.5000)  8 K 3.76
K (0.2500, 0.2500, 0.2500)  4 Tl 3.76, 4 Mg 3.76
K (0.7500, 0.7500, 0.7500)  4 Tl 3.76, 4 Mg 3.76

Entry 8:
Here is a relaxed structure of KMgTl2 from Alexandria via LeMat-Bulk. Energies are from PBE-GGA.

Calculated values
The space-group type is R-3m.

Unit cell a=10.7625 b=10.7625 c=10.7625 alpha=19.68 beta=19.68 gamma=19.68
Closest atoms and distances in Å follow each position.
Fractional positions:
K (0.2500, 0.2500, 0.2500)  6 Tl 3.66, 6 K 3.68
Tl (0.0107, 0.0107, 0.0107)  3 Mg 3.13
Tl (0.4893, 0.4893, 0.4893)  3 Mg 3.13
Mg (0.7500, 0.7500, 0.7500)  6 Tl 3.13

Entry 9:
Here is a relaxed structure of K5MgTl6 from Alexandria via LeMat-Bulk. Energies are from PBE-GGA.

Calculated values
The space-group type is C2/m.

Unit cell a=11.3940 b=6.7534 c=6.8066 alpha=60.26 beta=84.11 gamma=78.07
Closest atoms and distances in Å follow each position.
Fractional positions:
Tl (0.7655, 0.3635, 0.7117)  1 Mg 3.26, 2 Tl 3.38-3.41, 3 K 3.57-3.64
Tl (0.2345, 0.9248, 0.7117)  1 Mg 3.26, 2 Tl 3.38-3.41, 3 K 3.57-3.64
Tl (0.2390, 0.2106, 0.0000)  1 Mg 3.32, 2 Tl 3.38, 4 K 3.59-3.66
Tl (0.7655, 0.0752, 0.2883)  1 Mg 3.26, 2 Tl 3.38-3.41, 3 K 3.57-3.64
Tl (0.7610, 0.7894, 0.0000)  1 Mg 3.32, 2 Tl 3.38, 4 K 3.59-3.66
Tl (0.2345, 0.6365, 0.2883)  1 Mg 3.26, 2 Tl 3.38-3.41, 3 K 3.57-3.64
Mg (0.0000, 0.0000, 0.0000)  6 Tl 3.26-3.32
K (0.0000, 0.6660, 0.6680)  6 Tl 3.57-3.59, 3 Mg 3.91-3.95, 3 K 3.92
K (0.5000, 0.1748, 0.6504)  6 Tl 3.65-3.87, 5 K 3.82-3.96
K (0.5000, 0.5000, 0.0000)  6 Tl 3.64-3.88, 6 K 3.84-3.96
K (0.0000, 0.3340, 0.3320)  6 Tl 3.57-3.59, 3 Mg 3.91-3.95, 3 K 3.92
K (0.5000, 0.8252, 0.3496)  6 Tl 3.65-3.87, 5 K 3.82-3.96

Entry 10:
Here is a relaxed structure of K2Mg2Tl from Alexandria via LeMat-Bulk. Energies are from PBE-GGA.

Calculated values
The space-group type is P4/mbm. For the excess energy over the best structure of this formula in the dataset, the calculation gives 0 meV per atom.

Unit cell a=7.7402 b=7.7402 c=6.2310 alpha=90.00 beta=90.00 gamma=90.00
Closest atoms and distances in Å follow each position.
Fractional positions:
K (0.3193, 0.1807, 0.5000)  6 Mg 3.66-4.01, 5 K 3.96-4.02
K (0.1807, 0.6807, 0.5000)  6 Mg 3.66-4.01, 5 K 3.96-4.02
K (0.8193, 0.3193, 0.5000)  6 Mg 3.66-4.01, 5 K 3.96-4.02
K (0.6807, 0.8193, 0.5000)  6 Mg 3.66-4.01, 5 K 3.96-4.02
Tl (0.5000, 0.5000, 0.0000)  4 Mg 2.97
Tl (0.0000, 0.0000, 0.0000)  4 Mg 2.97
Mg (0.8562, 0.6438, 0.0000)  2 Tl 2.97, 1 Mg 3.15
Mg (0.1438, 0.3562, 0.0000)  2 Tl 2.97, 1 Mg 3.15
Mg (0.3562, 0.8562, 0.0000)  2 Tl 2.97, 1 Mg 3.15
Mg (0.6438, 0.1438, 0.0000)  2 Tl 2.97, 1 Mg 3.15

Energy relative to the elements list, top to bottom, in eV per atom: 0.122 -0.059 0.037 -0.029 -0.043 -0.106 0.155 -0.004 0.022 0.087
Size of the total moment list, top to bottom, in μB per atom: 0.0000 0.0000 0.0000 0.0000 0.0000 0.0000 0.0000 0.0000 0.0000 0.0000